# 1
The following is a DFT calculation (SCAN) of a crystal of ZnIn2Cu relaxed with PBEsol.

Cell: 2.9122 4.4197 6.4573 Å, 110.01 103.03 90.00°
Sites, in units of the cell vectors:
In  0.7424  0.2424  0.4848
In  0.9537  0.9537  0.9074
Cu  0.2432  0.7432  0.4863
Zn  0.5607  0.5607  0.1215

Output
calculated volume	76	Å³ per cell
M_tot	0.00	μB/f.u.
E	-95.08	eV for the cell shown
formation enthalpy at 0 K	0.10	eV/atom
DOS(E_F)	0.343	states/eV per atom

# 2
The following is a DFT calculation (SCAN) of a crystal of Rb3NiTe relaxed with PBEsol.

Cell: 6.8228 6.8228 6.8228 Å, 90.00 90.00 90.00°
Sites, in units of the cell vectors:
Rb  0.5000  0.0000  0.0000
Rb  0.0000  0.5000  0.0000
Rb  0.0000  0.0000  0.5000
Ni  0.5000  0.5000  0.5000
Te  0.0000  0.0000  0.0000

Output
calculated volume	318	Å³ per cell
M_tot	1.09	μB/f.u.
E	-115.64	eV for the cell shown
DOS(E_F)	1.432	states/eV per atom

# 3
The following is a DFT calculation (SCAN) of a crystal of Al2AgIr relaxed with PBEsol.

Cell: 2.9476 2.9476 6.7342 Å, 90.00 90.00 90.00°
Sites, in units of the cell vectors:
Al  0.0000  0.0000  0.2283
Al  0.0000  0.0000  0.7717
Ag  0.5000  0.5000  0.5000
Ir  0.5000  0.5000  0.0000

Output
calculated volume	59	Å³ per cell
M_tot	0.00	μB/f.u.
E	-120.55	eV for the cell shown
formation enthalpy at 0 K	-0.64	eV/atom
DOS(E_F)	0.295	states/eV per atom